Entry 1:
Material: SrCaF2
Method: DFT, PBEsol
State: relaxed

Its uncorrected energy is -4.862 eV/atom.

The structure in POSCAR format:
```
SrCaF2
1.0
-1.8889 -2.1336 -2.9520
2.0979 -2.7518 -2.2048
-1.3803 -6.0210 2.3836
F Ca Sr
2 1 1
direct
0.1216 0.1216 0.6351 F
0.8784 0.8784 0.3649 F
0.0000 0.0000 0.0000 Ca
0.5000 0.5000 0.5000 Sr
```

***

Entry 2:
Material: Sr2Ca2F
Method: DFT, PBEsol
State: relaxed

Its uncorrected energy is -2.102 eV/atom.

The structure in POSCAR format:
```
Sr2Ca2F
1.0
4.4916 0.0000 0.0000
0.0000 4.4916 0.0000
-2.2458 -2.2458 10.0481
F Ca Sr
1 2 2
direct
0.0000 0.0000 0.0000 F
0.5883 0.5883 0.1765 Ca
0.4117 0.4117 0.8235 Ca
0.2500 0.7500 0.5000 Sr
0.7500 0.2500 0.5000 Sr
```

***

Entry 3:
Material: SrCaF2
Method: DFT, PBEsol
State: relaxed

Its uncorrected energy is -4.599 eV/atom.

The structure in POSCAR format:
```
SrCaF2
1.0
-4.6102 2.0100 2.6334
-1.0573 -5.1695 2.0946
5.9732 2.7902 2.2082
Sr Ca F
2 2 4
direct
0.2500 0.7500 0.5000 Sr
0.0000 0.0000 0.0000 Sr
0.5000 0.5000 0.0000 Ca
0.7500 0.2500 0.5000 Ca
0.8474 0.3750 0.2500 F
0.1250 0.1526 0.7500 F
0.6250 0.5974 0.7500 F
0.4026 0.8750 0.2500 F
```

***

Entry 4:
Material: Sr3CaF
Method: DFT, PBEsol
State: relaxed

Its uncorrected energy is -1.634 eV/atom.

The structure in POSCAR format:
```
Sr3CaF
1.0
7.0252 0.0000 0.0000
0.0000 7.0252 0.0000
0.0000 0.0000 7.0252
Sr Ca F
3 1 1
direct
0.5000 0.0000 0.0000 Sr
0.0000 0.5000 0.0000 Sr
0.0000 0.0000 0.5000 Sr
0.0000 0.0000 0.0000 Ca
0.5000 0.5000 0.5000 F
```

***

Entry 5:
Material: CaTa2F2
Method: DFT, PBEsol
State: relaxed

Its uncorrected energy is -6.871 eV/atom.

The structure in POSCAR format:
```
CaTa2F2
1.0
-0.0124 -3.4604 0.6992
3.0405 -0.3658 -1.7564
2.3367 3.1924 6.9278
F Ta Ca
2 2 1
direct
0.5750 0.5750 0.1500 F
0.4250 0.4250 0.8500 F
0.7500 0.2500 0.5000 Ta
0.2500 0.7500 0.5000 Ta
0.0000 0.0000 0.0000 Ca
```

***

Entry 6:
Material: Ca3TaF
Method: DFT, PBEsol
State: relaxed

Its uncorrected energy is -3.458 eV/atom.

The structure in POSCAR format:
```
Ca3TaF
1.0
5.5832 0.0000 0.0000
0.0000 5.5832 0.0000
0.0000 0.0000 5.5832
Ca F Ta
3 1 1
direct
0.0000 0.5000 0.0000 Ca
0.0000 0.0000 0.5000 Ca
0.5000 0.0000 0.0000 Ca
0.5000 0.5000 0.5000 F
0.0000 0.0000 0.0000 Ta
```

***

How do the records compare in formation energy from raw total energies? In the order shown, they have -2.90 -0.13 -2.64 0.28 -0.65 0.72 eV/atom.